EuPuTlSn | PBE-GGA | optimized geometry

Unit cell a=5.4874 b=5.4874 c=5.4874 alpha=60.00 beta=60.00 gamma=60.00
Element x y z (fractional)
Eu  0.0000  0.0000  0.0000
Tl  0.7500  0.7500  0.7500
Sn  0.2500  0.2500  0.2500
Pu  0.5000  0.5000  0.5000

Summary:
**Raw total energy**: -8.0524 eV per atom
**Energy relative to the elements**: -309 meV per atom
**Space group**: F-43m
**Magnetization**: 3.314 μB/atom